No. 1
SrSbOsRh2, optimized geometry, DFT PBE; size of the total moment = 0.000 Bohr magnetons per cell; volume = 128.02 Å³/cell; ΔE_f (raw) = 4.0 eV/f.u.
1.0
4.7521 0.0000 0.0000
0.0000 5.6692 0.0000
0.0000 0.0000 4.7521
Sr Os Rh Sb
1 1 2 1
Cartesian
0.0000 2.8346 0.0000
0.0000 0.0000 0.0000
2.3761 0.0000 0.0000
0.0000 0.0000 2.3761
2.3761 2.8346 2.3761



No. 2
Nd2TlIr, optimized geometry, DFT PBE; size of the total moment = 0.000 Bohr magnetons per cell; ΔE_f = -0.467 eV/atom; E above lowest polymorph = 18 meV/atom; volume = 119.95 Å³/cell
1.0
-3.8385 -1.1390 -0.8649
-0.9437 -3.9766 -0.2752
-3.3696 -1.8417 7.6802
Nd Ir Tl
2 1 1
Cartesian
-6.2111 -5.2254 5.3462
-1.9408 -1.7319 1.1938
0.0000 0.0000 0.0000
-4.0759 -3.4786 3.2700



No. 3
EuSc2Co, optimized geometry, DFT PBE; size of the total moment = 7.916 Bohr magnetons per cell; ΔE_f = 0.104 eV/atom; E above lowest polymorph = 193 meV/atom; volume = 105.97 Å³/cell
1.0
3.5384 0.0000 0.0000
1.7692 3.0644 0.0000
1.7692 1.0215 9.7731
Sc Eu Co
2 1 1
Cartesian
1.7692 1.0215 6.3035
5.3076 3.0644 3.4695
0.0000 0.0000 0.0000
3.5384 2.0429 4.8865



No. 4
Hg2WBr, optimized geometry, DFT PBE; size of the total moment = 3.294 Bohr magnetons per cell; E above lowest polymorph = 717 meV/atom; volume = 89.17 Å³/cell; ΔE_f (raw) = 4.9 eV/f.u.
1.0
-4.1522 2.3393 1.5599
-2.9404 -2.1447 3.4498
-0.2179 1.8957 4.6374
Hg W Br
2 1 1
Cartesian
0.0000 0.0000 0.0000
-5.4829 1.5678 7.2353
-1.8276 0.5226 2.4118
-3.6552 1.0452 4.8236



No. 5
EuErSiAu, optimized geometry, DFT PBE; size of the total moment = 7.137 Bohr magnetons per cell; volume = 94.60 Å³/cell; ΔE_f (raw) = -2.5 eV/f.u.
1.0
-4.9052 -0.7293 -1.2508
-2.1418 -4.6020 0.6262
-3.4943 -0.7170 3.6651
Eu Si Au Er
1 1 1 1
Cartesian
0.0000 0.0000 0.0000
-7.9059 -4.5362 2.2804
-2.6353 -1.5121 0.7601
-5.2706 -3.0241 1.5203



No. 6
PrYBi2, optimized geometry, DFT PBE; size of the total moment = 0.000 Bohr magnetons per cell; ΔE_f = -0.854 eV/atom; E above lowest polymorph = 72 meV/atom; volume = 270.93 Å³/cell
1.0
4.5557 0.0000 0.0000
-2.2778 3.9453 0.0000
0.0000 0.0000 15.0736
Bi Pr Y
4 2 2
Cartesian
0.0000 2.6302 5.6188
2.2778 1.3151 13.1556
0.0000 2.6302 1.9181
2.2778 1.3151 9.4549
0.0000 0.0000 7.5368
0.0000 0.0000 0.0000
0.0000 2.6302 11.3052
2.2778 1.3151 3.7684



No. 7
MnZnSb2, optimized geometry, DFT PBE; size of the total moment = 3.881 Bohr magnetons per cell; volume = 89.11 Å³/cell; ΔE_f (raw) = 1.7 eV/f.u.
1.0
5.0136 0.0000 0.0000
2.5068 4.3419 0.0000
2.5068 1.4473 4.0936
Sb Zn Mn
2 1 1
Cartesian
0.0000 0.0000 0.0000
2.5068 1.4473 1.0234
7.5204 4.3419 3.0702
5.0136 2.8946 2.0468



No. 8
KIn5Au2, optimized geometry, DFT PBE; size of the total moment = 0.000 Bohr magnetons per cell; ΔE_f = -0.217 eV/atom; volume = 212.55 Å³/cell
1.0
4.5248 0.0000 0.0000
2.2624 7.0081 0.4343
2.2624 1.7144 6.8090
In Au K
5 2 1
Cartesian
4.5248 6.6759 3.4430
4.5248 2.0466 3.8003
4.5248 4.1116 1.3136
4.5248 4.6109 5.9297
2.2624 4.3613 3.6216
2.2624 2.2049 1.8310
6.7872 6.5176 5.4123
0.0000 0.0000 0.0000